A plane-wave DFT calculation with PBE was carried out for crystalline AcTbNd2Er4 at its relaxed geometry.

Structure (CIF):
```
data_AcTbNd2Er4
_chemical_formula_sum 'Ac4 Tb4 Nd8 Er16'
_symmetry_space_group_name_H-M 'I m m a'
_symmetry_Int_Tables_number 74
_symmetry_space_group_name_Hall '-I 2b 2'
_cell_length_a 6.901
_cell_length_b 11.947
_cell_length_c 13.431
_cell_angle_alpha 90.00
_cell_angle_beta 90.00
_cell_angle_gamma 90.00
loop_
_atom_site_label
_atom_site_type_symbol
_atom_site_fract_x
_atom_site_fract_y
_atom_site_fract_z
_atom_site_occupancy
Ac1 Ac 0.000 0.000 0.000 1
Tb1 Tb 0.250 0.250 0.250 1
Nd1 Nd 0.000 0.000 0.500 1
Nd2 Nd 0.250 0.250 0.750 1
Er1 Er 0.000 0.004 0.258 1
Er2 Er 0.237 0.250 0.496 1
```

Properties
calculated formation energy: 432 meV/atom
electronic total energy: -4.13 eV per atom
V: 34.605 Å³ per atom